Here is a geometry-optimized YPaB2O8 structure from Alexandria via LeMat-Bulk. Energies are from GGA-PBE.

Calculated values
- Uncorrected formation energy: -2.585 eV/atom
- Space-group type: No. 82
- Total magnetization: 2.05 μB per formula unit
- V: 10.2 Å³/atom

a = 4.6831 Å, b = 4.6831 Å, c = 6.4780 Å
α = 111.19°, β = 111.19°, γ = 90.00°
Each line ends with the local moment (μB).
Fractional positions:
Y 0.7500 0.2500 0.5000  -0.01
Pa 0.0000 0.0000 0.0000  -0.06
O 0.4475 0.3231 0.1362  0.21
O 0.6887 0.8131 0.1362  0.21
O 0.0662 0.4350 0.3546  0.26
O 0.6769 0.3113 0.8638  0.21
O 0.2883 0.9196 0.3546  0.26
O 0.1869 0.5525 0.8638  0.21
O 0.0804 0.9338 0.6454  0.26
O 0.5650 0.7117 0.6454  0.26
B 0.5000 0.5000 0.0000  -0.01
B 0.2500 0.7500 0.5000  -0.02